1.
# Be2PBr, optimized geometry, DFT GGA-PBE
# Energy relative to the lowest polymorph listed for this composition (kcal/mol of atoms): 2.45
# Energy relative to the elements, uncorrected (eV per atom): -0.30
# E (eV for the cell shown): -15.72
data_Be2PBr
_chemical_formula_sum 'Be2 P1 Br1'
_cell_length_a 3.6316
_cell_length_b 3.6341
_cell_length_c 6.0720
_cell_angle_alpha 90.00
_cell_angle_beta 90.41
_cell_angle_gamma 90.00
_space_group_name_H-M_alt 'P 1 m 1'
_space_group_IT_number 6
loop_
_space_group_symop_operation_xyz
'x,y,z'
'x,-y,z'
loop_
_atom_site_label
_atom_site_type_symbol
_atom_site_fract_x
_atom_site_fract_y
_atom_site_fract_z
_atom_site_occupancy
Be1 Be 0.0000 0.0000 0.0000 1
Be2 Be 0.5003 0.5000 0.0005 1
P1 P 0.4979 0.0000 0.8213 1
Br1 Br 0.0034 0.5000 0.2715 1



2.
# Tb2Mg3Ag4, optimized geometry, DFT GGA-PBE
# Energy relative to the lowest polymorph listed for this composition (kcal/mol of atoms): 0.53
# DFT formation energy (meV per atom): -215.9
# E (eV for the cell shown): -109.57
data_Tb2Mg3Ag4
_chemical_formula_sum 'Tb8 Mg12 Ag16'
_cell_length_a 6.0129
_cell_length_b 16.8221
_cell_length_c 7.8754
_cell_angle_alpha 90.00
_cell_angle_beta 90.00
_cell_angle_gamma 90.00
_space_group_name_H-M_alt 'C m c e'
_space_group_IT_number 64
_space_group_name_Hall '-C 2ac 2'
loop_
_atom_site_label
_atom_site_type_symbol
_atom_site_fract_x
_atom_site_fract_y
_atom_site_fract_z
_atom_site_occupancy
Tb1 Tb 0.0000 0.1003 0.0981 1
Mg1 Mg 0.0000 0.0000 0.5000 1
Mg2 Mg 0.2500 0.2319 0.7500 1
Ag1 Ag 0.0000 0.1686 0.4728 1
Ag2 Ag 0.2500 0.0646 0.7500 1



3.
# La4GaSb, optimized geometry, DFT GGA-PBE
# Energy relative to the lowest polymorph listed for this composition (kcal/mol of atoms): 0.00
# Energy relative to the elements, uncorrected (eV per atom): -0.61
# E (eV for the cell shown): -122.16
data_La4GaSb
_chemical_formula_sum 'La16 Ga4 Sb4'
_cell_length_a 9.0208
_cell_length_b 14.4222
_cell_length_c 6.2689
_cell_angle_alpha 90.00
_cell_angle_beta 112.40
_cell_angle_gamma 90.00
_space_group_name_H-M_alt 'C 1 2/c 1'
_space_group_IT_number 15
loop_
_space_group_symop_operation_xyz
'x,y,z'
'-x,-y,-z'
'-x,y,-z+1/2'
'x,-y,z+1/2'
'x+1/2,y+1/2,z'
'-x+1/2,-y+1/2,-z'
'-x+1/2,y+1/2,-z+1/2'
'x+1/2,-y+1/2,z+1/2'
loop_
_atom_site_label
_atom_site_type_symbol
_atom_site_fract_x
_atom_site_fract_y
_atom_site_fract_z
_atom_site_occupancy
La1 La 0.1077 0.1845 0.0616 1
La2 La 0.1903 0.4172 0.3421 1
Ga1 Ga 0.0000 0.9998 0.2500 1
Sb1 Sb 0.0000 0.3805 0.7500 1



4.
# LiInPbAu, optimized geometry, DFT GGA-PBE
# DFT formation energy (meV per atom): -178.5
# E (eV for the cell shown): -49.41
data_LiInPbAu
_chemical_formula_sum 'Li4 In4 Pb4 Au4'
_cell_length_a 7.0773
_cell_length_b 7.0773
_cell_length_c 7.0773
_cell_angle_alpha 90.00
_cell_angle_beta 90.00
_cell_angle_gamma 90.00
_space_group_name_H-M_alt 'F -4 3 m'
_space_group_IT_number 216
_space_group_name_Hall 'F -4 2 3'
loop_
_atom_site_label
_atom_site_type_symbol
_atom_site_fract_x
_atom_site_fract_y
_atom_site_fract_z
_atom_site_occupancy
Li1 Li 0.0000 0.0000 0.0000 1
In1 In 0.2500 0.2500 0.2500 1
Pb1 Pb 0.2500 0.2500 0.7500 1
Au1 Au 0.0000 0.0000 0.5000 1



5.
# UCo3H3, optimized geometry, DFT GGA-PBE
# Energy relative to the lowest polymorph listed for this composition (kcal/mol of atoms): 2.27
# E (eV for the cell shown): -85.17
data_UCo3H3
_chemical_formula_sum 'U2 Co6 H6'
_cell_length_a 5.0248
_cell_length_b 5.0248
_cell_length_c 5.0248
_cell_angle_alpha 90.00
_cell_angle_beta 90.00
_cell_angle_gamma 90.00
_space_group_name_H-M_alt 'P m -3 n'
_space_group_IT_number 223
_space_group_name_Hall '-P 4n 2 3'
loop_
_atom_site_label
_atom_site_type_symbol
_atom_site_fract_x
_atom_site_fract_y
_atom_site_fract_z
_atom_site_occupancy
U1 U 0.0000 0.0000 0.0000 1
Co1 Co 0.0000 0.2500 0.5000 1
H1 H 0.0000 0.5000 0.2500 1



6.
# CsKFe2Cl8, optimized geometry, DFT GGA-PBE
# Energy relative to the elements, uncorrected (eV per atom): -1.24
# E (eV for the cell shown): -97.18
data_CsKFe2Cl8
_chemical_formula_sum 'Cs2 K2 Fe4 Cl16'
_cell_length_a 11.0109
_cell_length_b 7.4606
_cell_length_c 11.1078
_cell_angle_alpha 90.00
_cell_angle_beta 94.10
_cell_angle_gamma 90.00
_space_group_name_H-M_alt 'C 1 2/m 1'
_space_group_IT_number 12
loop_
_space_group_symop_operation_xyz
'x,y,z'
'-x,-y,-z'
'-x,y,-z'
'x,-y,z'
'x+1/2,y+1/2,z'
'-x+1/2,-y+1/2,-z'
'-x+1/2,y+1/2,-z'
'x+1/2,-y+1/2,z'
loop_
_atom_site_label
_atom_site_type_symbol
_atom_site_fract_x
_atom_site_fract_y
_atom_site_fract_z
_atom_site_occupancy
Cs1 Cs 0.0000 0.0000 0.0000 1
K1 K 0.0000 0.0000 0.5000 1
Fe1 Fe 0.0896 0.5000 0.2656 1
Cl1 Cl 0.0278 0.2578 0.7337 1
Cl2 Cl 0.1830 0.5000 0.0962 1
Cl3 Cl 0.2093 0.5000 0.4327 1



7.
# YV3Se, optimized geometry, DFT GGA-PBE
# Energy relative to the lowest polymorph listed for this composition (kcal/mol of atoms): 0.00
# Energy relative to the elements, uncorrected (eV per atom): 0.34
# E (eV for the cell shown): -35.60
data_YV3Se
_chemical_formula_sum 'Y1 V3 Se1'
_cell_length_a 4.6107
_cell_length_b 4.6107
_cell_length_c 4.6107
_cell_angle_alpha 90.00
_cell_angle_beta 90.00
_cell_angle_gamma 90.00
_space_group_name_H-M_alt 'P m -3 m'
_space_group_IT_number 221
_space_group_name_Hall '-P 4 2 3'
loop_
_atom_site_label
_atom_site_type_symbol
_atom_site_fract_x
_atom_site_fract_y
_atom_site_fract_z
_atom_site_occupancy
Y1 Y 0.0000 0.0000 0.0000 1
V1 V 0.0000 0.5000 0.5000 1
Se1 Se 0.5000 0.5000 0.5000 1



8.
# Nb2Al2S7, optimized geometry, DFT GGA-PBE
# Energy relative to the elements, uncorrected (eV per atom): -0.77
# E (eV for the cell shown): -130.01
data_Nb2Al2S7
_chemical_formula_sum 'Nb4 Al4 S14'
_cell_length_a 7.7043
_cell_length_b 10.0327
_cell_length_c 6.6024
_cell_angle_alpha 90.00
_cell_angle_beta 102.79
_cell_angle_gamma 90.00
_space_group_name_H-M_alt 'C 1 2/m 1'
_space_group_IT_number 12
loop_
_space_group_symop_operation_xyz
'x,y,z'
'-x,-y,-z'
'-x,y,-z'
'x,-y,z'
'x+1/2,y+1/2,z'
'-x+1/2,-y+1/2,-z'
'-x+1/2,y+1/2,-z'
'x+1/2,-y+1/2,z'
loop_
_atom_site_label
_atom_site_type_symbol
_atom_site_fract_x
_atom_site_fract_y
_atom_site_fract_z
_atom_site_occupancy
Nb1 Nb 0.0000 0.1519 0.0000 1
Al1 Al 0.2322 0.5000 0.3691 1
S1 S 0.0000 0.5000 0.5000 1
S2 S 0.1009 0.0000 0.2776 1
S3 S 0.2421 0.1908 0.8003 1



Number 1: M_tot 0.0 μB/f.u.. Number 2: M_tot 0.0 μB/f.u.. Number 3: M_tot 0.0 μB/f.u.. Number 4: M_tot 0.0 μB/f.u.. Number 5: M_tot 0.0 μB/f.u.. Number 6: M_tot 10.0 μB/f.u.. Number 7: M_tot 2.1 μB/f.u.. Number 8: M_tot 0.0 μB/f.u..